# Ba4Bi3 (GGA-PBE, optimized geometry)
data_Ba4Bi3
_space_group_name_H-M_alt 'I -4 3 d'
_space_group_IT_number 220
_space_group_name_Hall 'I -4bd 2c 3'
_cell_length_a 10.736
_cell_length_b 10.736
_cell_length_c 10.736
_cell_angle_alpha 90.00
_cell_angle_beta 90.00
_cell_angle_gamma 90.00
loop_
_atom_site_label
_atom_site_fract_x
_atom_site_fract_y
_atom_site_fract_z
Ba1 0.072 0.072 0.072
Bi1 0.000 0.250 0.375
# Crystal system: cubic
# Formation energy in meV/atom: -915



# Ba4Bi (GGA-PBE, optimized geometry)
data_Ba4Bi
_space_group_name_H-M_alt 'P m -3 m'
_space_group_IT_number 221
_space_group_name_Hall '-P 4 2 3'
_cell_length_a 6.905
_cell_length_b 6.905
_cell_length_c 6.905
_cell_angle_alpha 90.00
_cell_angle_beta 90.00
_cell_angle_gamma 90.00
loop_
_atom_site_label
_atom_site_fract_x
_atom_site_fract_y
_atom_site_fract_z
Ba1 0.000 0.000 0.000
Ba2 0.000 0.500 0.500
Bi1 0.500 0.500 0.500
# Crystal system: cubic
# Formation energy in meV/atom: -301



# Ba3Bi2 (GGA-PBE, optimized geometry)
data_Ba3Bi2
_space_group_name_H-M_alt 'C 1 2/m 1'
_space_group_IT_number 12
_cell_length_a 20.427
_cell_length_b 5.625
_cell_length_c 13.280
_cell_angle_alpha 90.00
_cell_angle_beta 96.29
_cell_angle_gamma 90.00
loop_
_space_group_symop_operation_xyz
'x,y,z'
'-x,-y,-z'
'-x,y,-z'
'x,-y,z'
'x+1/2,y+1/2,z'
'-x+1/2,-y+1/2,-z'
'-x+1/2,y+1/2,-z'
'x+1/2,-y+1/2,z'
loop_
_atom_site_label
_atom_site_fract_x
_atom_site_fract_y
_atom_site_fract_z
Ba1 0.000 0.000 0.000
Ba2 0.022 0.000 0.659
Ba3 0.134 0.500 0.296
Ba4 0.173 0.500 0.977
Ba5 0.201 0.500 0.633
Bi1 0.033 0.500 0.813
Bi2 0.144 0.000 0.486
Bi3 0.177 0.000 0.141
# Crystal system: monoclinic
# Formation energy in meV/atom: -895
# E above lowest polymorph in eV per atom: 0.000



# Ba8Bi3Br4 (GGA-PBE, optimized geometry)
data_Ba8Bi3Br4
_space_group_name_H-M_alt 'R -3 m'
_space_group_IT_number 166
_space_group_name_Hall '-R 3 2"'
_cell_length_a 10.0330
_cell_length_b 10.0330
_cell_length_c 25.9870
_cell_angle_alpha 90.00
_cell_angle_beta 90.00
_cell_angle_gamma 120.00
loop_
_atom_site_label
_atom_site_fract_x
_atom_site_fract_y
_atom_site_fract_z
Ba1 0.0000 0.0000 0.2393
Ba2 0.0076 0.5038 0.7573
Bi1 0.0000 0.5000 0.5000
Br1 0.0000 0.0000 0.0000
Br2 0.0000 0.0000 0.3621
Br3 0.0000 0.0000 0.5000
# Crystal system: trigonal
# E_form (uncorrected) in eV per atom: -1.2626



# Ba3BiBr2 (GGA-PBE, optimized geometry)
data_Ba3BiBr2
_space_group_name_H-M_alt 'I m m m'
_space_group_IT_number 71
_space_group_name_Hall '-I 2 2'
_cell_length_a 5.004
_cell_length_b 6.935
_cell_length_c 14.430
_cell_angle_alpha 90.00
_cell_angle_beta 90.00
_cell_angle_gamma 90.00
loop_
_atom_site_label
_atom_site_fract_x
_atom_site_fract_y
_atom_site_fract_z
Ba1 0.000 0.000 0.000
Ba2 0.000 0.000 0.335
Bi1 0.000 0.500 0.000
Br1 0.000 0.500 0.335
# Crystal system: orthorhombic
# E_form (uncorrected) in eV per atom: -1.4927



# Ba2BiBr (GGA-PBE, optimized geometry)
data_Ba2BiBr
_space_group_name_H-M_alt 'C 1 2/c 1'
_space_group_IT_number 15
_cell_length_a 9.980
_cell_length_b 20.066
_cell_length_c 8.660
_cell_angle_alpha 90.00
_cell_angle_beta 124.49
_cell_angle_gamma 90.00
loop_
_space_group_symop_operation_xyz
'x,y,z'
'-x,-y,-z'
'-x,y,-z+1/2'
'x,-y,z+1/2'
'x+1/2,y+1/2,z'
'-x+1/2,-y+1/2,-z'
'-x+1/2,y+1/2,-z+1/2'
'x+1/2,-y+1/2,z+1/2'
loop_
_atom_site_label
_atom_site_fract_x
_atom_site_fract_y
_atom_site_fract_z
Ba1 0.243 0.062 0.236
Ba2 0.245 0.187 0.762
Bi1 0.000 0.060 0.750
Bi2 0.000 0.315 0.750
Br1 0.000 0.190 0.250
Br2 0.000 0.436 0.250
# Crystal system: monoclinic
# E_form (uncorrected) in eV per atom: -1.4269



# BaBiBr2 (GGA-PBE, optimized geometry)
data_BaBiBr2
_space_group_name_H-M_alt 'R -3 m'
_space_group_IT_number 166
_space_group_name_Hall '-R 3 2"'
_cell_length_a 4.4720
_cell_length_b 4.4720
_cell_length_c 36.6224
_cell_angle_alpha 90.00
_cell_angle_beta 90.00
_cell_angle_gamma 120.00
loop_
_atom_site_label
_atom_site_fract_x
_atom_site_fract_y
_atom_site_fract_z
Ba1 0.0000 0.0000 0.0000
Bi1 0.0000 0.0000 0.5000
Br1 0.0000 0.0000 0.3842
# Crystal system: trigonal
# E above lowest polymorph in eV per atom: 0.000
# E_form (uncorrected) in eV per atom: -1.0102



# Ba6BiBr8 (GGA-PBE, optimized geometry)
data_Ba6BiBr8
_space_group_name_H-M_alt 'R -3'
_space_group_IT_number 148
_space_group_name_Hall '-R 3'
_cell_length_a 9.1833
_cell_length_b 9.1833
_cell_length_c 25.8013
_cell_angle_alpha 90.00
_cell_angle_beta 90.00
_cell_angle_gamma 120.00
loop_
_atom_site_label
_atom_site_fract_x
_atom_site_fract_y
_atom_site_fract_z
Ba1 0.0123 0.6919 0.0765
Bi1 0.0000 0.0000 0.0000
Br1 0.0000 0.0000 0.3378
Br2 0.0112 0.6917 0.2114
# Crystal system: trigonal
# E_form (uncorrected) in eV per atom: -1.8787



# Ba8Bi4Br3 (GGA-PBE, optimized geometry)
data_Ba8Bi4Br3
_space_group_name_H-M_alt 'C 1 2/m 1'
_space_group_IT_number 12
_cell_length_a 14.095
_cell_length_b 14.301
_cell_length_c 9.904
_cell_angle_alpha 90.00
_cell_angle_beta 134.32
_cell_angle_gamma 90.00
loop_
_space_group_symop_operation_xyz
'x,y,z'
'-x,-y,-z'
'-x,y,-z'
'x,-y,z'
'x+1/2,y+1/2,z'
'-x+1/2,-y+1/2,-z'
'-x+1/2,y+1/2,-z'
'x+1/2,-y+1/2,z'
loop_
_atom_site_label
_atom_site_fract_x
_atom_site_fract_y
_atom_site_fract_z
Ba1 0.000 0.242 0.000
Ba2 0.000 0.257 0.500
Ba3 0.248 0.000 0.482
Ba4 0.250 0.000 0.004
Bi1 0.000 0.000 0.000
Bi2 0.000 0.500 0.500
Bi3 0.250 0.250 0.000
Br1 0.000 0.000 0.500
Br2 0.250 0.250 0.500
# Crystal system: monoclinic
# E_form (uncorrected) in eV per atom: -1.2485



# Ba2BiBr (GGA-PBE, optimized geometry)
data_Ba2BiBr
_space_group_name_H-M_alt 'P 4/m m m'
_space_group_IT_number 123
_space_group_name_Hall '-P 4 2'
_cell_length_a 6.061
_cell_length_b 6.061
_cell_length_c 4.223
_cell_angle_alpha 90.00
_cell_angle_beta 90.00
_cell_angle_gamma 90.00
loop_
_atom_site_label
_atom_site_fract_x
_atom_site_fract_y
_atom_site_fract_z
Ba1 0.000 0.500 0.000
Bi1 0.000 0.000 0.500
Br1 0.500 0.500 0.500
# Crystal system: tetragonal
# E_form (uncorrected) in eV per atom: -1.2682



# BaBiBr2 (GGA-PBE, optimized geometry)
data_BaBiBr2
_space_group_name_H-M_alt 'F m -3 m'
_space_group_IT_number 225
_space_group_name_Hall '-F 4 2 3'
_cell_length_a 8.273
_cell_length_b 8.273
_cell_length_c 8.273
_cell_angle_alpha 90.00
_cell_angle_beta 90.00
_cell_angle_gamma 90.00
loop_
_atom_site_label
_atom_site_fract_x
_atom_site_fract_y
_atom_site_fract_z
Ba1 0.000 0.000 0.000
Bi1 0.000 0.000 0.500
Br1 0.250 0.250 0.250
# Crystal system: cubic
# E above lowest polymorph in eV per atom: 0.080
# E_form (uncorrected) in eV per atom: -0.9306